Arrangement A

## Tc3GeBi (PBE-GGA)

Data for Tc3GeBi after structural relaxation.

Lattice parameters (Å, degrees): 4.638 4.638 4.638 90.00 90.00 90.00
Atoms (fractional coordinates):
1 Ge 0.000 0.000 0.000
2 Bi 0.500 0.500 0.500
3 Tc 0.000 0.500 0.000
4 Tc 0.000 0.000 0.500
5 Tc 0.500 0.000 0.000

Values from the calculation:
SG: No. 221
DOS(E_F), states/eV per cell: 5.3


Arrangement B

## Tc3GeBi (PBE-GGA)

Data for Tc3GeBi after structural relaxation.

Lattice parameters (Å, degrees): 5.059 5.059 5.059 90.00 90.00 90.00
Atoms (fractional coordinates):
1 Ge 0.500 0.500 0.500
2 Bi 0.000 0.000 0.000
3 Tc 0.000 0.500 0.000
4 Tc 0.000 0.000 0.500
5 Tc 0.500 0.000 0.000

Values from the calculation:
SG: No. 221
DOS(E_F), states/eV per cell: 4.6


Which one sits at the top of the stability order? arrangement A does.


Arrangement A

## TcGeBi3 (PBE-GGA)

Data for TcGeBi3 after structural relaxation.

Lattice parameters (Å, degrees): 5.459 5.459 5.459 90.00 90.00 90.00
Atoms (fractional coordinates):
1 Ge 0.000 0.000 0.000
2 Bi 0.000 0.500 0.000
3 Bi 0.000 0.000 0.500
4 Bi 0.500 0.000 0.000
5 Tc 0.500 0.500 0.500

Values from the calculation:
SG: No. 221
DOS(E_F), states/eV per cell: 5.2


Arrangement B

## TcGeBi3 (PBE-GGA)

Data for TcGeBi3 after structural relaxation.

Lattice parameters (Å, degrees): 5.302 5.302 5.302 90.00 90.00 90.00
Atoms (fractional coordinates):
1 Ge 0.500 0.500 0.500
2 Bi 0.000 0.500 0.000
3 Bi 0.000 0.000 0.500
4 Bi 0.500 0.000 0.000
5 Tc 0.000 0.000 0.000

Values from the calculation:
SG: No. 221
DOS(E_F), states/eV per cell: 3.5


Which one sits at the top of the stability order? arrangement B does.


Arrangement A

## Ge2BiTe (PBE-GGA)

Data for Ge2BiTe after structural relaxation.

Lattice parameters (Å, degrees): 5.227 5.227 5.227 60.00 60.00 60.00
Atoms (fractional coordinates):
1 Ge 0.250 0.250 0.250
2 Ge 0.750 0.750 0.750
3 Te 0.000 0.000 0.000
4 Bi 0.500 0.500 0.500

Values from the calculation:
SG: No. 225
DOS(E_F), states/eV per cell: 2.9


Arrangement B

## Ge2BiTe (PBE-GGA)

Data for Ge2BiTe after structural relaxation.

Lattice parameters (Å, degrees): 6.096 6.096 8.712 69.52 69.52 90.00
Atoms (fractional coordinates):
1 Ge 0.617 0.125 0.250
2 Ge 0.133 0.625 0.250
3 Ge 0.375 0.383 0.750
4 Ge 0.875 0.867 0.750
5 Te 0.500 0.500 0.000
6 Te 0.250 0.750 0.500
7 Bi 0.000 0.000 0.000
8 Bi 0.750 0.250 0.500

Values from the calculation:
SG: No. 122
DOS(E_F), states/eV per cell: 2.7


Which one sits at the top of the stability order? arrangement B does.


Arrangement A

## GeBi2Te4 (PBE-GGA)

Data for GeBi2Te4 after structural relaxation.

Lattice parameters (Å, degrees): 6.714 6.714 8.010 114.78 114.78 90.00
Atoms (fractional coordinates):
1 Ge 0.500 0.500 0.000
2 Bi 0.750 0.250 0.500
3 Bi 0.250 0.750 0.500
4 Te 0.876 0.325 0.202
5 Te 0.325 0.876 0.202
6 Te 0.675 0.675 0.798
7 Te 0.124 0.124 0.798

Values from the calculation:
SG: No. 121
DOS(E_F), states/eV per cell: 0.9


Arrangement B

## GeBi2Te4 (PBE-GGA)

Data for GeBi2Te4 after structural relaxation.

Lattice parameters (Å, degrees): 14.707 14.707 14.707 17.11 17.11 17.11
Atoms (fractional coordinates):
1 Ge 0.000 0.000 0.000
2 Te 0.873 0.873 0.873
3 Te 0.127 0.127 0.127
4 Te 0.705 0.705 0.705
5 Te 0.295 0.295 0.295
6 Bi 0.580 0.580 0.580
7 Bi 0.420 0.420 0.420

Values from the calculation:
SG: No. 166


Which one sits at the top of the stability order? arrangement B does.


Arrangement A

## Th2GeBi (PBE-GGA)

Data for Th2GeBi after structural relaxation.

Lattice parameters (Å, degrees): 3.685 3.685 8.194 90.00 90.00 90.00
Atoms (fractional coordinates):
1 Ge 0.500 0.500 0.000
2 Bi 0.500 0.500 0.500
3 Th 0.000 0.000 0.784
4 Th 0.000 0.000 0.216

Values from the calculation:
SG: No. 123
DOS(E_F), states/eV per cell: 4.4


Arrangement B

## Th2GeBi (PBE-GGA)

Data for Th2GeBi after structural relaxation.

Lattice parameters (Å, degrees): 4.400 4.403 7.853 106.24 90.00 119.98
Atoms (fractional coordinates):
1 Th 0.240 0.480 0.221
2 Th 0.760 0.520 0.779
3 Ge 0.500 0.000 0.000
4 Bi 0.000 0.000 0.500

Values from the calculation:
SG: No. 166
DOS(E_F), states/eV per cell: 2.3


Which one sits at the top of the stability order? arrangement B does.


Arrangement A

## ThGe2Bi (PBE-GGA)

Data for ThGe2Bi after structural relaxation.

Lattice parameters (Å, degrees): 4.674 4.674 8.302 73.65 73.65 60.00
Atoms (fractional coordinates):
1 Ge 0.113 0.113 0.660
2 Ge 0.887 0.887 0.340
3 Bi 0.000 0.000 0.000
4 Th 0.500 0.500 0.500

Values from the calculation:
SG: No. 166
DOS(E_F), states/eV per cell: 4.3


Arrangement B

## ThGe2Bi (PBE-GGA)

Data for ThGe2Bi after structural relaxation.

Lattice parameters (Å, degrees): 4.218 4.810 4.810 90.00 90.00 90.00
Atoms (fractional coordinates):
1 Ge 0.000 0.000 0.500
2 Ge 0.000 0.500 0.000
3 Bi 0.500 0.500 0.500
4 Th 0.500 0.000 0.000

Values from the calculation:
SG: No. 123
DOS(E_F), states/eV per cell: 3.0


Which one sits at the top of the stability order? arrangement B does.